1.
# Cu5Pb3Cl12 PBE-GGA optimized geometry
data_Cu5Pb3Cl12
_cell_length_a 15.598
_cell_length_b 15.598
_cell_length_c 15.598
_cell_angle_alpha 90.00
_cell_angle_beta 90.00
_cell_angle_gamma 90.00
_symmetry_space_group_name_H-M 'I a -3 d'
_symmetry_Int_Tables_number 230
_symmetry_space_group_name_Hall '-I 4bd 2c 3'
loop_
_atom_site_label
_atom_site_type_symbol
_atom_site_fract_x
_atom_site_fract_y
_atom_site_fract_z
_atom_site_occupancy
Cu1 Cu 0.000 0.000 0.000 1
Cu2 Cu 0.000 0.250 0.375 1
Pb1 Pb 0.000 0.250 0.125 1
Cl1 Cl 0.031 0.056 0.649 1
# - density (g/cm³) = 4.8
# - total energy (eV per atom) = -3.44
# - ΔE_f (raw) (eV per formula unit) = -15.10
# - magnetization (μB/f.u.) = 1.2



2.
# Pr6Mg5Al PBE-GGA optimized geometry
data_Pr6Mg5Al
_cell_length_a 5.478
_cell_length_b 16.449
_cell_length_c 7.809
_cell_angle_alpha 90.00
_cell_angle_beta 90.00
_cell_angle_gamma 90.00
_symmetry_space_group_name_H-M 'C m m m'
_symmetry_Int_Tables_number 65
_symmetry_space_group_name_Hall '-C 2 2'
loop_
_atom_site_label
_atom_site_type_symbol
_atom_site_fract_x
_atom_site_fract_y
_atom_site_fract_z
_atom_site_occupancy
Pr1 Pr 0.000 0.000 0.240 1
Pr2 Pr 0.000 0.337 0.244 1
Mg1 Mg 0.000 0.168 0.500 1
Mg2 Mg 0.000 0.170 0.000 1
Mg3 Mg 0.000 0.500 0.500 1
Al1 Al 0.000 0.500 0.000 1
# - density (g/cm³) = 4.7
# - total energy (eV per atom) = -3.52
# - formation enthalpy at 0 K (eV/atom) = -0.157
# - magnetization (μB/f.u.) = 0.0



3.
# Mo2AsRh PBE-GGA optimized geometry
data_Mo2AsRh
_cell_length_a 2.968
_cell_length_b 2.968
_cell_length_c 6.823
_cell_angle_alpha 90.00
_cell_angle_beta 90.00
_cell_angle_gamma 90.00
_symmetry_space_group_name_H-M 'P 4/m m m'
_symmetry_Int_Tables_number 123
_symmetry_space_group_name_Hall '-P 4 2'
loop_
_atom_site_label
_atom_site_type_symbol
_atom_site_fract_x
_atom_site_fract_y
_atom_site_fract_z
_atom_site_occupancy
Mo1 Mo 0.000 0.000 0.233 1
As1 As 0.500 0.500 0.000 1
Rh1 Rh 0.500 0.500 0.500 1
# - density (g/cm³) = 10.2
# - total energy (eV per atom) = -8.49
# - formation enthalpy at 0 K (eV/atom) = -0.076
# - magnetization (μB/f.u.) = 0.0



> The lowest density belongs to which entry?

Pr6Mg5Al